Ni2MoClO | Alexandria via LeMat-Bulk | PBE+U | relaxed; DOS(E_F) = 1.13 states/eV/f.u.; crystal system = tetragonal; uncorrected energy = -13.63 eV for the cell shown
1.0
4.153 0.000 0.000
0.000 5.314 0.000
0.000 0.000 4.153
O Ni Cl Mo
1 2 1 1
direct
0.500 0.500 0.500
0.000 0.000 0.500
0.500 0.000 0.000
0.000 0.000 0.000
0.000 0.500 0.000